{"formula": "Si2TcP", "functional": "PBE", "state": "optimized geometry", "lattice": [[2.947, 0.000, 0.000], [0.000, 2.947, 0.000], [0.000, 0.000, 6.625]], "species": ["Tc", "P", "Si", "Si"], "fractional_positions": [[0.000, 0.000, 0.504], [0.500, 0.500, 0.705], [0.500, 0.500, 0.273], [0.000, 0.000, 0.017]], "raw_formation_energy_mev_per_atom": 21, "n_ef_per_ev_cell": 1.7}